{
  "formula": "NpCoSnO6",
  "functional": "PBE with a Hubbard U",
  "state": "optimized geometry",
  "cell": [[5.1592, 0.0000, 0.0000], [-2.5796, 4.4680, 0.0000], [0.0000, 0.0000, 9.3990]],
  "species": ["Np", "Np", "Co", "Co", "Sn", "Sn", "O", "O", "O", "O", "O", "O", "O", "O", "O", "O", "O", "O"],
  "fractional_positions": [[0.3333, 0.6667, 0.2500], [0.6667, 0.3333, 0.7500], [0.3333, 0.6667, 0.7500], [0.6667, 0.3333, 0.2500], [0.0000, 0.0000, 0.0000], [0.0000, 0.0000, 0.5000], [0.0116, 0.3412, 0.6295], [0.0116, 0.6704, 0.8705], [0.3296, 0.3412, 0.8705], [0.3296, 0.9884, 0.6295], [0.3412, 0.0116, 0.1295], [0.3412, 0.3296, 0.3705], [0.6588, 0.6704, 0.6295], [0.6588, 0.9884, 0.8705], [0.6704, 0.0116, 0.3705], [0.6704, 0.6588, 0.1295], [0.9884, 0.3296, 0.1295], [0.9884, 0.6588, 0.3705]],
  "magmom_total_mub_per_cell": 4.0,
  "final_energy_ev_per_atom": -7.592
}